1.
Compound: Dy2TlIn
Source: Alexandria
Functional: PBE-GGA
Structure: optimized geometry

Lattice parameters (Å, degrees): 3.7190 3.7190 9.8952 79.17 79.17 60.00
Sites, in units of the cell vectors:
Tl: 0.5000 0.5000 0.5000
In: 0.0000 0.0000 0.0000
Dy: 0.7496 0.7496 0.7513
Dy: 0.2504 0.2504 0.2487

The calculation puts the calculated total energy at -15.49 eV/cell. The calculation puts the size of the total moment at 0.0 μB/f.u.

***

2.
Compound: Dy3Tl2In
Source: Alexandria
Functional: PBE-GGA
Structure: optimized geometry

Lattice parameters (Å, degrees): 3.6550 3.6550 12.1839 90.00 90.00 90.00
Sites, in units of the cell vectors:
In: 0.5000 0.5000 0.5000
Dy: 0.0000 0.0000 0.3357
Dy: 0.0000 0.0000 0.0000
Dy: 0.0000 0.0000 0.6643
Tl: 0.5000 0.5000 0.1669
Tl: 0.5000 0.5000 0.8331

The calculation puts the calculated total energy at -23.58 eV/cell. The calculation puts the size of the total moment at 0.0 μB/f.u.

***

3.
Compound: Dy2TlIn
Source: Alexandria
Functional: PBE-GGA
Structure: optimized geometry

Lattice parameters (Å, degrees): 3.7630 3.7630 7.6120 90.00 90.00 90.00
Sites, in units of the cell vectors:
In: 0.5000 0.5000 0.0000
Tl: 0.5000 0.5000 0.5000
Dy: 0.0000 0.0000 0.7526
Dy: 0.0000 0.0000 0.2474

The calculation puts the calculated total energy at -15.93 eV/cell. The calculation puts the size of the total moment at 0.0 μB/f.u.

***

4.
Compound: Dy6Tl2In
Source: Alexandria
Functional: PBE-GGA
Structure: optimized geometry

Lattice parameters (Å, degrees): 5.1841 7.3251 8.9740 114.09 106.78 90.00
Sites, in units of the cell vectors:
Dy: 0.5000 0.7512 0.0000
Dy: 0.5000 0.2488 0.0000
Dy: 0.1658 0.9165 0.3323
Dy: 0.1658 0.4158 0.3323
Dy: 0.8342 0.5842 0.6677
Dy: 0.8342 0.0835 0.6677
Tl: 0.3337 0.3332 0.6664
Tl: 0.6663 0.6668 0.3336
In: 0.0000 0.0000 0.0000

The calculation puts the calculated total energy at -35.60 eV/cell. The calculation puts the size of the total moment at 0.0 μB/f.u.

***

5.
Compound: Dy9Tl2In
Source: Alexandria
Functional: PBE-GGA
Structure: optimized geometry

Lattice parameters (Å, degrees): 4.8457 4.8457 14.5409 90.00 90.00 90.00
Site moments in Bohr magnetons follow the coordinates.
Sites, in units of the cell vectors:
Dy: 0.5000 0.0000 0.8344  0.15
Dy: 0.5000 0.0000 0.5000  0.19
Dy: 0.5000 0.5000 0.3330  0.18
Dy: 0.5000 0.5000 0.6670  0.18
Dy: 0.0000 0.5000 0.5000  0.19
Dy: 0.5000 0.5000 0.0000  0.13
Dy: 0.0000 0.5000 0.8344  0.15
Dy: 0.5000 0.0000 0.1656  0.15
Dy: 0.0000 0.5000 0.1656  0.15
Tl: 0.0000 0.0000 0.6667  -0.01
Tl: 0.0000 0.0000 0.3333  -0.01
In: 0.0000 0.0000 0.0000  -0.01

The calculation puts the calculated total energy at -51.39 eV/cell. The calculation puts the size of the total moment at 1.8 μB/f.u.

***

6.
Compound: Dy5TlIn6
Source: Alexandria
Functional: PBE-GGA
Structure: optimized geometry

Lattice parameters (Å, degrees): 4.8118 9.0640 8.9107 120.57 105.66 90.00
Sites, in units of the cell vectors:
Dy: 0.6454 0.1454 0.2908
Dy: 0.3268 0.3268 0.6536
Dy: 0.3546 0.8546 0.7092
Dy: 0.6732 0.6732 0.3464
Dy: 0.0000 0.5000 0.0000
In: 0.5000 0.7325 0.0000
In: 0.8276 0.0854 0.6552
In: 0.8276 0.5698 0.6552
In: 0.1724 0.4302 0.3448
In: 0.5000 0.2675 0.0000
In: 0.1724 0.9146 0.3448
Tl: 0.0000 0.0000 0.0000

The calculation puts the calculated total energy at -46.76 eV/cell. The calculation puts the size of the total moment at 0.0 μB/f.u.